a | 9
Lattice="4.337 0.000 0.000 0.000 4.337 0.000 0.000 0.000 7.644" Properties=species:S:1:pos:R:3 comment="Nd2Dy2O5 (PBE-GGA, relaxed)" volume_a3_per_atom=15.98 mass_density_g_cm3=8.01 pbc="T T T"
Nd 0.000 0.000 0.000
Nd 0.000 0.000 3.822
Dy 2.169 2.169 1.736
Dy 2.169 2.169 5.909
O 0.000 2.169 1.843
O 0.000 2.169 5.801
O 2.169 0.000 1.843
O 2.169 0.000 5.801
O 2.169 2.169 3.822

---

b | 9
Lattice="4.118 0.000 0.000 0.000 4.118 0.000 0.000 0.000 8.939" Properties=species:S:1:pos:R:3 comment="Nd2Dy2O5 (PBE-GGA, relaxed)" volume_a3_per_atom=16.84 mass_density_g_cm3=7.60 pbc="T T T"
Nd 0.000 0.000 2.155
Nd 0.000 0.000 6.784
Dy 2.059 2.059 0.000
Dy 2.059 2.059 4.470
O 0.000 0.000 4.470
O 0.000 2.059 1.271
O 0.000 2.059 7.668
O 2.059 0.000 1.271
O 2.059 0.000 7.668

---

Among the structures shown above, a is the most stable, with the second-best lying 5.3 kJ/mol of atoms higher.